The following is a PBE-GGA calculation of crystalline CrAgAu at its relaxed geometry, from Alexandria via LeMat-Bulk.

Geometry as POSCAR:
```
CrAgAu
1.0
0.0000 3.1681 3.1681
3.1681 0.0000 3.1681
3.1681 3.1681 0.0000
Cr Ag Au
1 1 1
Cartesian
0.0000 0.0000 0.0000
3.1681 3.1681 3.1681
4.7522 4.7522 4.7522
```

Calculated values
Density   9.3 g/cm3
E_tot   -4.80 eV/atom

***

The following is a PBE-GGA calculation of crystalline KCr2AgAu at its relaxed geometry, from Alexandria via LeMat-Bulk.

Geometry as POSCAR:
```
KCr2AgAu
1.0
5.1580 0.0000 0.0000
0.0000 5.1580 0.0000
0.0000 0.0000 5.9025
K Cr Ag Au
1 2 1 1
Cartesian
0.0000 0.0000 0.0000
0.0000 2.5790 2.9513
2.5790 0.0000 2.9513
2.5790 2.5790 0.0000
0.0000 0.0000 2.9513
```

Calculated values
Density   4.7 g/cm3
E_tot   -4.33 eV/atom

***

The following is a PBE-GGA calculation of crystalline MnCrAg2Au at its relaxed geometry, from Alexandria via LeMat-Bulk.

Geometry as POSCAR:
```
MnCrAg2Au
1.0
5.1056 0.0000 0.0000
0.0000 5.1056 0.0000
0.0000 0.0000 4.7337
Mn Cr Ag Au
1 1 2 1
Cartesian
0.0000 0.0000 0.0000
2.5528 2.5528 0.0000
0.0000 2.5528 2.3668
2.5528 0.0000 2.3668
2.5528 2.5528 2.3668
```

Calculated values
Density   7.0 g/cm3
E_tot   -4.12 eV/atom

***

The following is a PBE-GGA calculation of crystalline CrAgPdAu at its relaxed geometry, from Alexandria via LeMat-Bulk.

Geometry as POSCAR:
```
CrAgPdAu
1.0
0.0000 3.2221 3.2221
3.2221 0.0000 3.2221
3.2221 3.2221 0.0000
Cr Ag Pd Au
1 1 1 1
Cartesian
0.0000 0.0000 0.0000
3.2221 3.2221 3.2221
1.6111 1.6111 1.6111
4.8332 4.8332 4.8332
```

Calculated values
Density   11.5 g/cm3
E_tot   -5.15 eV/atom

***

The following is a PBE-GGA calculation of crystalline Cr2SiAgAu at its relaxed geometry, from Alexandria via LeMat-Bulk.

Geometry as POSCAR:
```
Cr2SiAgAu
1.0
5.0422 0.0000 0.0000
0.0000 5.0422 0.0000
0.0000 0.0000 4.4886
Cr Si Ag Au
2 1 1 1
Cartesian
0.0000 2.5211 0.0000
2.5211 0.0000 0.0000
0.0000 0.0000 2.2443
0.0000 0.0000 0.0000
2.5211 2.5211 2.2443
```

Calculated values
Energy relative to the elements, uncorrected   1.212 eV per atom
Density   6.4 g/cm3

***

The following is a PBE-GGA calculation of crystalline CrAgSnAu at its relaxed geometry, from Alexandria via LeMat-Bulk.

Geometry as POSCAR:
```
CrAgSnAu
1.0
0.0000 3.3393 3.3393
3.3393 0.0000 3.3393
3.3393 3.3393 0.0000
Cr Ag Sn Au
1 1 1 1
Cartesian
0.0000 0.0000 0.0000
3.3393 3.3393 3.3393
1.6697 1.6697 1.6697
5.0090 5.0090 5.0090
```

Calculated values
Density   10.6 g/cm3
E_tot   -4.80 eV/atom

***

The following is a PBE-GGA calculation of crystalline ZrCrAg2Au at its relaxed geometry, from Alexandria via LeMat-Bulk.

Geometry as POSCAR:
```
ZrCrAg2Au
1.0
4.9141 0.0000 0.0000
0.0000 4.9141 0.0000
0.0000 0.0000 4.5966
Zr Cr Ag Au
1 1 2 1
Cartesian
0.0000 0.0000 0.0000
0.0000 0.0000 2.2983
0.0000 2.4571 2.2983
2.4571 0.0000 2.2983
2.4571 2.4571 0.0000
```

Calculated values
Density   8.3 g/cm3
E_tot   -4.53 eV/atom

***

The following is a PBE-GGA calculation of crystalline Cs8AgAu4 at its relaxed geometry, from Alexandria via LeMat-Bulk.

Geometry as POSCAR:
```
Cs8AgAu4
1.0
8.8177 -5.1988 0.0000
8.8177 5.1988 0.0000
-8.7187 0.0000 9.0239
Cs Ag Au
8 1 4
Cartesian
-2.4171 0.0000 2.9330
-2.2903 2.6726 7.5082
11.2071 2.6726 1.5158
2.3644 0.0000 6.0104
6.5523 0.0000 3.0136
-2.2903 -2.6726 7.5082
11.2071 -2.6726 1.5158
11.3338 0.0000 6.0909
0.0000 0.0000 0.0000
4.4584 2.5392 4.5120
4.5229 0.0000 0.0312
4.3939 0.0000 8.9928
4.4584 -2.5392 4.5120
```

Calculated values
Density   3.9 g/cm3
E_tot   -1.95 eV/atom

***

The following is a PBE-GGA calculation of crystalline Cs4AgAu3 at its relaxed geometry, from Alexandria via LeMat-Bulk.

Geometry as POSCAR:
```
Cs4AgAu3
1.0
5.1153 0.0000 0.0000
0.0000 5.1462 0.0000
0.0000 0.0000 12.9355
Cs Ag Au
4 1 3
Cartesian
0.0000 0.0000 0.0000
0.0000 2.5731 6.3078
2.5577 0.0000 9.1782
2.5577 2.5731 2.7506
0.0000 2.5731 10.3548
0.0000 0.0000 3.7378
2.5577 0.0000 5.3410
2.5577 2.5731 11.7839
```

Calculated values
Density   6.0 g/cm3
E_tot   -2.26 eV/atom

***

The following is a PBE-GGA calculation of crystalline Cs2AgAu at its relaxed geometry, from Alexandria via LeMat-Bulk.

Geometry as POSCAR:
```
Cs2AgAu
1.0
5.1199 0.0000 0.0000
0.0000 2.6216 6.4938
0.0000 -2.6216 6.4938
Cs Ag Au
2 1 1
Cartesian
0.0000 0.0000 0.0000
2.5600 0.0000 3.7072
0.0000 0.0000 9.0287
2.5600 0.0000 7.6298
```

Calculated values
Density   5.4 g/cm3
E_tot   -2.12 eV/atom

***

The following is a PBE-GGA calculation of crystalline Cs2AgAu at its relaxed geometry, from Alexandria via LeMat-Bulk.

Geometry as POSCAR:
```
Cs2AgAu
1.0
7.0063 0.0000 0.0000
0.0000 5.1182 0.0000
-3.0900 0.0000 9.7100
Cs Ag Au
4 2 2
Cartesian
0.1311 1.2796 4.1570
1.7461 3.8387 0.6829
2.1702 1.2796 9.0271
3.7851 3.8387 5.5530
0.0960 3.8387 7.0445
3.8203 1.2796 2.6654
-1.2191 1.2796 7.5671
5.1354 3.8387 2.1428
```

Calculated values
Density   5.4 g/cm3
E_tot   -2.12 eV/atom

***

The following is a PBE-GGA calculation of crystalline Cs5AgAu4 at its relaxed geometry, from Alexandria via LeMat-Bulk.

Geometry as POSCAR:
```
Cs5AgAu4
1.0
4.3770 0.0000 0.0000
0.0000 4.3770 0.0000
0.0000 0.0000 21.9407
Cs Ag Au
5 1 4
Cartesian
0.0000 0.0000 0.0000
0.0000 0.0000 4.3300
0.0000 0.0000 8.6416
0.0000 0.0000 13.2991
0.0000 0.0000 17.6107
2.1885 2.1885 10.9703
2.1885 2.1885 2.1632
2.1885 2.1885 6.5035
2.1885 2.1885 15.4372
2.1885 2.1885 19.7775
```

Calculated values
Density   6.2 g/cm3
E_tot   -2.27 eV/atom

***

The following is a PBE-GGA calculation of crystalline CsAgAu at its relaxed geometry, from Alexandria via LeMat-Bulk.

Geometry as POSCAR:
```
CsAgAu
1.0
-2.3583 4.2557 5.3083
2.3583 -4.2557 5.3083
2.3583 4.2557 -5.3083
Cs Ag Au
2 2 2
Cartesian
0.0000 0.0000 2.6125
0.0000 0.0000 8.0040
0.0000 2.8704 0.0000
0.0000 5.6410 0.0000
2.3583 1.3872 0.0000
0.0000 2.8685 5.3083
```

Calculated values
Density   6.8 g/cm3
E_tot   -2.42 eV/atom

***

The following is a PBE-GGA calculation of crystalline CsAg3Au at its relaxed geometry, from Alexandria via LeMat-Bulk.

Geometry as POSCAR:
```
CsAg3Au
1.0
6.0383 0.0000 0.0000
0.0000 6.0383 0.0000
0.0000 0.0000 6.0383
Cs Ag Au
1 3 1
Cartesian
0.0000 0.0000 0.0000
0.0000 0.0000 3.0192
0.0000 3.0192 0.0000
3.0192 0.0000 0.0000
3.0192 3.0192 3.0192
```

Calculated values
Density   4.9 g/cm3
E_tot   -1.08 eV/atom